Entry from Alexandria via LeMat-Bulk: a relaxed structure of Ca2LaCd (PBE-GGA).

abc: 7.0128 7.0128 3.5807
angles: 76.78 76.78 118.94
Closest atoms and distances in Å follow each position.
Positions (direct):
Ca: 0.0000 0.0000 0.0000  2 Cd 3.55, 2 La 3.55, 6 Ca 3.56-3.75
Ca: 0.5000 0.5000 0.0000  2 La 3.55, 2 Cd 3.55, 6 Ca 3.56-3.75
Cd: 0.5000 0.0000 0.5000  4 Ca 3.55, 4 La 3.56-3.75, 2 Cd 3.58
La: 0.0000 0.5000 0.5000  4 Ca 3.55, 4 Cd 3.56-3.75, 2 La 3.58

## Properties
**Space-group type**: C2/m
**DFT formation energy**: 0.00 eV/atom